No. 1
VASP calculation (PBE-GGA) on an optimized crystal structure of Li7HoCd4.

Uncorrected energy = -21.92 eV per cell
Energy relative to the elements = -0.5 kcal/mol of atoms

```
Li7HoCd4
1.0
6.929 -2.528 0.000
6.929 2.528 0.000
-4.425 0.000 6.997
Li Ho Cd
7 1 4
Cartesian
0.000 0.000 0.000
0.145 0.000 4.834
3.448 0.000 0.757
3.374 0.000 3.828
6.058 0.000 3.169
5.984 0.000 6.240
9.287 0.000 2.163
6.929 0.000 0.000
-2.516 0.000 5.088
1.029 0.000 2.326
8.403 0.000 4.671
11.949 0.000 1.909
```

=====

No. 2
VASP calculation (PBE-GGA) on an optimized crystal structure of YSiO2.

Raw formation energy = -2.176 eV per atom
Uncorrected energy = -30.51 eV per cell

```
YSiO2
1.0
1.724 0.995 6.009
-1.724 0.995 6.009
0.000 -1.991 6.009
Y Si O
1 1 2
Cartesian
0.000 0.000 0.000
0.000 0.000 9.013
0.000 0.000 7.098
0.000 0.000 10.928
```

=====

No. 3
VASP calculation (PBE-GGA) on an optimized crystal structure of HfThMgNb.

Uncorrected energy = -28.37 eV per cell
Energy relative to the elements = 3.8 kcal/mol of atoms

```
HfThMgNb
1.0
0.000 3.594 3.594
3.594 0.000 3.594
3.594 3.594 0.000
Hf Th Mg Nb
1 1 1 1
Cartesian
0.000 0.000 0.000
3.594 3.594 3.594
1.797 1.797 1.797
5.391 5.391 5.391
```

=====

No. 4
VASP calculation (PBE-GGA) on an optimized crystal structure of NbFeNiRu.

Energy above the most stable polymorph in this dataset = 0.1396 eV per atom
Uncorrected energy = -33.65 eV per cell
Energy relative to the elements = -0.4 kcal/mol of atoms

```
NbFeNiRu
1.0
0.000 3.041 3.041
3.041 0.000 3.041
3.041 3.041 0.000
Nb Fe Ni Ru
1 1 1 1
Cartesian
0.000 0.000 0.000
3.041 3.041 3.041
1.520 1.520 1.520
4.561 4.561 4.561
```

=====

No. 5
VASP calculation (PBE-GGA) on an optimized crystal structure of LiTc2Mo2.

Energy above the most stable polymorph in this dataset = 0.3308 eV per atom
Uncorrected energy = -41.14 eV per cell
Energy relative to the elements = 14.6 kcal/mol of atoms

```
LiTc2Mo2
1.0
-2.114 2.114 5.322
2.114 -2.114 5.322
2.114 2.114 -5.322
Li Tc Mo
1 2 2
Cartesian
0.000 0.000 0.000
2.114 0.000 2.661
0.000 2.114 2.661
0.000 0.000 3.985
0.000 0.000 6.659
```

=====

No. 6
VASP calculation (PBE-GGA) on an optimized crystal structure of CsTl2Cd.

Energy above the most stable polymorph in this dataset = 0.0136 eV per atom
Uncorrected energy = -6.74 eV per cell
Energy relative to the elements = -1.4 kcal/mol of atoms

```
CsTl2Cd
1.0
2.564 1.480 7.232
-2.564 1.480 7.232
0.000 -2.961 7.232
Cs Tl Cd
1 2 1
Cartesian
0.000 0.000 0.000
0.000 0.000 4.548
0.000 0.000 17.148
0.000 0.000 10.848
```

=====

No. 7
VASP calculation (PBE-GGA) on an optimized crystal structure of Ba2Tl2Te.

Energy above the most stable polymorph in this dataset = 0.0495 eV per atom
Raw formation energy = -0.527 eV per atom
Uncorrected energy = -28.71 eV per cell

```
Ba2Tl2Te
1.0
9.147 0.000 0.000
0.000 9.147 0.000
0.000 0.000 5.540
Ba Tl Te
4 4 2
Cartesian
1.651 2.923 0.000
2.923 7.496 0.000
6.225 1.651 0.000
7.496 6.225 0.000
1.092 5.665 2.770
3.482 1.092 2.770
5.665 8.055 2.770
8.055 3.482 2.770
0.000 0.000 0.000
4.574 4.574 0.000
```

=====

No. 8
VASP calculation (PBE-GGA) on an optimized crystal structure of Pa3BTe.

Raw formation energy = -0.189 eV per atom
Uncorrected energy = -39.25 eV per cell

```
Pa3BTe
1.0
4.853 0.000 0.000
0.000 4.853 0.000
0.000 0.000 4.853
Pa B Te
3 1 1
Cartesian
0.000 0.000 2.427
0.000 2.427 0.000
2.427 0.000 0.000
0.000 0.000 0.000
2.427 2.427 2.427
```

=====

no.,theoretical density (Mg/m³)
1,4.5
2,4.0
3,9.4
4,9.1
5,6.9
6,6.6
7,5.8
8,12.1